The following is a GGA+U calculation of a geometry-optimized Li2TiFe2O5 structure, from Alexandria via LeMat-Bulk.

Computed properties:
- crystal system = triclinic
- polymorph energy (0 for the lowest one) (meV/atom) = 38
- total magnetization (μB per cell) = 15.93
- raw total energy (eV per atom) = -6.838

Lattice parameters (Å, degrees): 4.202 6.166 8.102 105.18 104.95 90.08
Space group P-1 (No. 2)
One atom of each set of equivalent atoms:
Li (0.000, 0.000, 0.000) (multiplicity 1)
Li (0.000, 0.500, 0.000) (multiplicity 1)
Li (0.184, 0.128, 0.379) (multiplicity 2)
Ti (0.437, 0.179, 0.800) (multiplicity 2)
Fe (0.202, 0.634, 0.399) (multiplicity 2)
Fe (0.399, 0.685, 0.802) (multiplicity 2)
O (0.109, 0.332, 0.218) (multiplicity 2)
O (0.114, 0.818, 0.190) (multiplicity 2)
O (0.307, 0.344, 0.624) (multiplicity 2)
O (0.310, 0.904, 0.623) (multiplicity 2)
O (0.500, 0.000, 0.000) (multiplicity 1)
O (0.500, 0.500, 0.000) (multiplicity 1)